[1]
VASP calculation (GGA-PBE) on AlMoRh after structural relaxation.

abc: 4.3020 4.3020 2.7727
angles: 90.00 90.00 120.00
With the nearest neighbours (Å) after each atom.
Space group P-6m2 (No. 187)
One atom of each set of equivalent atoms:
Al  0.0000  0.0000  0.0000  3 Rh 2.48, 2 Al 2.77
Mo  0.6667  0.3333  0.5000  2 Mo 2.77, 6 Al 2.84, 6 Rh 2.84
Rh  0.3333  0.6667  0.0000  3 Al 2.48, 2 Rh 2.77

Properties
- Formation energy from the elements: -327 meV/atom
- Electronic total energy: -22.91 eV for the cell shown
- Size of the total moment: 0.00 μB/cell

***

[2]
VASP calculation (GGA-PBE) on Al2MoRh after structural relaxation.

abc: 2.9437 2.9437 6.6464
angles: 90.00 90.00 90.00
With the nearest neighbours (Å) after each atom.
Space group P4/mmm (No. 123)
One atom of each set of equivalent atoms:
Al  0.0000  0.0000  0.2276  4 Rh 2.57, 4 Mo 2.76
Mo  0.5000  0.5000  0.5000  8 Al 2.76, 4 Mo 2.94
Rh  0.5000  0.5000  0.0000  8 Al 2.57

Properties
- Formation energy from the elements: -557 meV/atom
- Electronic total energy: -27.90 eV for the cell shown
- Energy relative to the lowest polymorph listed for this composition: 0.000 eV per atom
- Size of the total moment: 0.00 μB/cell